1.
## GdVRh2 (PBE)

Data for an optimized crystal structure of GdVRh2.

Cell: 4.689 4.689 3.159 Å, 90.00 90.00 90.00°
Element x y z (fractional)
Gd1 0.000 0.000 0.000
V1 0.500 0.500 0.000
Rh1 0.000 0.500 0.500
Rh2 0.500 0.000 0.500

Calculated values
Relative energy among the computed polymorphs in meV/atom: 0.0
E_form in kJ/mol of formula units: -124
E in eV/atom: -9.797
Symmetry: P4/mmm (123)

2.
## Rb3MgSn (PBE)

Data for an optimized crystal structure of Rb3MgSn.

Cell: 7.165 7.165 7.165 Å, 90.00 90.00 90.00°
Element x y z (fractional)
Rb1 0.000 0.000 0.500
Rb2 0.000 0.500 0.000
Rb3 0.500 0.000 0.000
Mg1 0.500 0.500 0.500
Sn1 0.000 0.000 0.000

Calculated values
Relative energy among the computed polymorphs in meV/atom: 232.5
E_form in kJ/mol of formula units: 130
E in eV/atom: -1.431
Symmetry: Pm-3m (221)

Copy entry 1 word for word.
## GdVRh2 (PBE)

Data for an optimized crystal structure of GdVRh2.

Cell: 4.689 4.689 3.159 Å, 90.00 90.00 90.00°
Element x y z (fractional)
Gd1 0.000 0.000 0.000
V1 0.500 0.500 0.000
Rh1 0.000 0.500 0.500
Rh2 0.500 0.000 0.500

Calculated values
Relative energy among the computed polymorphs in meV/atom: 0.0
E_form in kJ/mol of formula units: -124
E in eV/atom: -9.797
Symmetry: P4/mmm (123)